## Pr4YHo3 (PBE)

Data for Pr4YHo3 after structural relaxation.

Cell lengths 12.291, 12.291, 6.293 Å; angles 104.74, 104.74, 17.08 degrees
Fractional positions:
Pr (0.123, 0.123, 0.457)
Pr (0.248, 0.248, 0.246)
Pr (0.752, 0.752, 0.754)
Pr (0.877, 0.877, 0.543)
Y (0.000, 0.000, 0.000)
Ho (0.377, 0.377, 0.046)
Ho (0.500, 0.500, 0.500)
Ho (0.623, 0.623, 0.954)

Calculated values
Spin magnetization = 0.000 μB per cell
Symmetry = C2/m, No. 12
Volume = 33.73 Å³ per atom
Polymorph energy (0 for the lowest one) = 0.0000 eV per atom
Formation enthalpy at 0 K = 0.01 eV per atom